w) A plane-wave DFT calculation with PBE was carried out for a relaxed structure of Ho6Ru2Pt.

Cell and atoms, written as extended XYZ:
```
18
Lattice="6.579 0.000 0.000 0.000 7.366 0.000 -6.282 0.000 9.483" Properties=species:S:1:pos:R:3 pbc="T T T"
Ho -1.012 0.402 2.264
Ho -4.154 3.281 7.006
Ho 1.009 4.973 0.712
Ho -2.132 6.076 5.454
Ho 2.160 1.230 0.649
Ho -0.981 2.453 5.391
Ho 1.278 4.913 4.093
Ho -1.863 6.136 8.835
Ho 2.429 1.290 4.029
Ho -0.712 2.393 8.771
Ho 4.450 4.085 2.478
Ho 1.309 6.964 7.220
Ru -2.829 0.861 7.260
Ru 0.312 2.822 2.518
Ru -0.015 4.544 6.965
Ru 3.126 6.505 2.223
Pt 0.148 0.000 4.742
Pt 3.289 3.683 0.000
```

Crystal system: monoclinic
DOS(E_F) in states/eV per cell: 12.80

***

x) A plane-wave DFT calculation with PBE was carried out for a relaxed structure of Ho6Ru2Pt.

Cell and atoms, written as extended XYZ:
```
18
Lattice="-4.667 4.684 4.973 4.667 -4.684 4.973 4.667 4.684 -4.973" Properties=species:S:1:pos:R:3 pbc="T T T"
Ho 4.667 2.905 -2.521
Ho 2.921 0.000 1.683
Ho 6.414 0.000 1.683
Ho 2.176 3.018 0.000
Ho 2.491 -1.666 4.973
Ho 0.000 1.779 2.452
Ho 4.667 2.905 2.521
Ho 2.176 6.350 0.000
Ho 2.491 1.666 4.973
Ho -1.746 4.684 3.289
Ho 1.746 4.684 3.289
Ho 0.000 1.779 7.494
Ru 4.667 1.611 0.000
Ru 4.667 0.000 3.743
Ru 0.000 4.684 1.230
Ru 0.000 3.072 4.973
Pt 0.000 0.000 0.000
Pt 0.000 0.000 4.973
```

Crystal system: orthorhombic
DOS(E_F) in states/eV per cell: 13.59

***

Stability ranking, top and bottom: x) is the most stable and w) is the least stable.

***

w) A plane-wave DFT calculation with PBE was carried out for a relaxed structure of Ho8RuPt2.

Cell and atoms, written as extended XYZ:
```
11
Lattice="8.561 -2.492 0.000 8.561 2.492 0.000 -1.922 0.000 6.492" Properties=species:S:1:pos:R:3 pbc="T T T"
Ho -0.030 0.000 1.896
Ho 1.902 0.000 5.257
Ho 4.710 0.000 3.470
Ho 6.867 0.000 0.368
Ho 8.333 0.000 6.124
Ho 10.490 0.000 3.021
Ho 13.297 0.000 1.235
Ho 15.229 0.000 4.596
Ru 7.600 0.000 3.246
Pt 2.817 0.000 1.363
Pt 12.382 0.000 5.128
```

Crystal system: monoclinic
DOS(E_F) in states/eV per cell: 10.83

***

x) A plane-wave DFT calculation with PBE was carried out for a relaxed structure of Ho8RuPt2.

Cell and atoms, written as extended XYZ:
```
11
Lattice="4.160 -6.338 0.000 4.160 6.338 0.000 -1.953 0.000 5.546" Properties=species:S:1:pos:R:3 pbc="T T T"
Ho 0.000 0.000 0.000
Ho 0.138 1.599 3.147
Ho 2.592 2.689 0.978
Ho 0.138 -1.599 3.147
Ho 3.171 1.598 4.252
Ho 2.592 -2.689 0.978
Ho 3.171 -1.598 4.252
Ho 5.223 0.000 1.970
Ru 2.335 0.000 1.750
Pt 1.657 3.936 3.758
Pt 1.657 -3.936 3.758
```

Crystal system: monoclinic
DOS(E_F) in states/eV per cell: 11.20

***

Stability ranking, top and bottom: w) is the most stable and x) is the least stable.

***

w) A plane-wave DFT calculation with PBE was carried out for a relaxed structure of Ho4Ru2Pt.

Cell and atoms, written as extended XYZ:
```
14
Lattice="-4.278 4.278 4.267 4.278 -4.278 4.267 4.278 4.278 -4.267" Properties=species:S:1:pos:R:3 pbc="T T T"
Ho 5.830 0.559 0.541
Ho 3.718 2.726 -1.593
Ho 0.559 2.726 -0.541
Ho 0.559 1.552 2.674
Ho 3.718 1.552 3.727
Ho 1.552 -0.559 5.861
Ho 2.726 4.837 1.593
Ho -1.552 3.718 4.808
Ru 2.139 -1.031 3.201
Ru 3.247 2.139 1.067
Ru 2.139 5.308 -1.067
Ru 1.031 2.139 5.334
Pt 0.000 0.000 0.000
Pt 0.000 4.278 2.134
```

Crystal system: tetragonal
DOS(E_F) in states/eV per cell: 7.34

***

x) A plane-wave DFT calculation with PBE was carried out for a relaxed structure of Ho4Ru2Pt.

Cell and atoms, written as extended XYZ:
```
7
Lattice="2.403 1.387 7.820 -2.403 1.387 7.820 0.000 -2.774 7.820" Properties=species:S:1:pos:R:3 pbc="T T T"
Ho 0.000 0.000 2.869
Ho 0.000 0.000 8.748
Ho 0.000 0.000 14.713
Ho 0.000 0.000 20.592
Ru 0.000 0.000 5.828
Ru 0.000 0.000 17.632
Pt 0.000 0.000 11.730
```

Crystal system: trigonal
DOS(E_F) in states/eV per cell: 3.74

***

Stability ranking, top and bottom: x) is the most stable and w) is the least stable.

***

w) A plane-wave DFT calculation with PBE was carried out for a relaxed structure of HoTmRuPt.

Cell and atoms, written as extended XYZ:
```
16
Lattice="6.822 0.000 0.000 0.000 6.822 0.000 0.000 0.000 6.822" Properties=species:S:1:pos:R:3 pbc="T T T"
Ho 0.000 0.000 0.000
Ho 0.000 3.411 3.411
Ho 3.411 0.000 3.411
Ho 3.411 3.411 0.000
Tm 0.000 0.000 3.411
Tm 0.000 3.411 0.000
Tm 3.411 0.000 0.000
Tm 3.411 3.411 3.411
Ru 1.706 1.706 5.117
Ru 1.706 5.117 1.706
Ru 5.117 1.706 1.706
Ru 5.117 5.117 5.117
Pt 1.706 1.706 1.706
Pt 1.706 5.117 5.117
Pt 5.117 1.706 5.117
Pt 5.117 5.117 1.706
```

Crystal system: cubic
DOS(E_F) in states/eV per cell: 8.45

***

x) A plane-wave DFT calculation with PBE was carried out for a relaxed structure of HoTmRuPt.

Cell and atoms, written as extended XYZ:
```
4
Lattice="3.444 0.000 0.000 0.000 3.444 0.000 0.000 0.000 6.694" Properties=species:S:1:pos:R:3 pbc="T T T"
Ho 0.000 0.000 0.000
Tm 0.000 0.000 3.274
Ru 1.722 1.722 1.654
Pt 1.722 1.722 4.964
```

Crystal system: tetragonal
DOS(E_F) in states/eV per cell: 1.19

***

Stability ranking, top and bottom: x) is the most stable and w) is the least stable.

***

w) A plane-wave DFT calculation with PBE was carried out for a relaxed structure of Ho2Sc3Pt4.

Cell and atoms, written as extended XYZ:
```
18
Lattice="2.993 -8.412 0.000 2.993 8.412 0.000 0.000 0.000 7.405" Properties=species:S:1:pos:R:3 pbc="T T T"
Ho 2.993 6.770 6.731
Ho 2.993 1.642 3.029
Ho 2.993 -1.642 4.376
Ho 2.993 -6.770 0.674
Sc 0.000 0.000 3.702
Sc 1.497 3.900 5.553
Sc 1.497 -3.900 1.851
Sc 2.993 0.000 0.000
Sc 4.490 3.900 5.553
Sc 4.490 -3.900 1.851
Pt 2.993 5.588 4.012
Pt 1.497 1.130 5.553
Pt 1.497 -1.130 1.851
Pt 2.993 2.824 0.310
Pt 2.993 -2.824 7.095
Pt 4.490 1.130 5.553
Pt 4.490 -1.130 1.851
Pt 2.993 -5.588 3.392
```

Crystal system: orthorhombic
DOS(E_F) in states/eV per cell: 17.82

***

x) A plane-wave DFT calculation with PBE was carried out for a relaxed structure of Ho2Sc3Pt4.

Cell and atoms, written as extended XYZ:
```
18
Lattice="7.291 0.000 0.000 0.000 7.361 0.000 -2.599 0.000 6.947" Properties=species:S:1:pos:R:3 pbc="T T T"
Ho 1.224 1.285 0.472
Ho -0.075 2.396 3.945
Ho 4.768 4.966 3.002
Ho 3.468 6.076 6.475
Sc 1.173 4.884 1.711
Sc -0.126 6.158 5.185
Sc 2.346 0.000 3.473
Sc 3.646 3.681 0.000
Sc 4.819 1.204 1.762
Sc 3.519 2.477 5.235
Pt -1.595 4.001 5.917
Pt -0.295 7.041 2.444
Pt 1.372 1.015 6.031
Pt 2.671 2.666 2.557
Pt 2.022 4.696 4.389
Pt 3.321 6.347 0.916
Pt 4.988 0.320 4.503
Pt 6.287 3.361 1.029
```

Crystal system: monoclinic
DOS(E_F) in states/eV per cell: 12.10

***

Stability ranking, top and bottom: x) is the most stable and w) is the least stable.

***

w) A plane-wave DFT calculation with PBE was carried out for a relaxed structure of Ho2ScPt3.

Cell and atoms, written as extended XYZ:
```
12
Lattice="4.035 0.000 0.000 0.000 5.645 0.000 0.000 0.000 11.791" Properties=species:S:1:pos:R:3 pbc="T T T"
Ho 0.000 0.000 2.027
Ho 0.000 0.000 9.764
Ho 2.017 2.822 3.869
Ho 2.017 2.822 7.922
Sc 0.000 0.000 5.895
Sc 2.017 2.822 0.000
Pt 0.000 2.822 1.805
Pt 0.000 2.822 5.895
Pt 0.000 2.822 9.985
Pt 2.017 0.000 0.000
Pt 2.017 0.000 4.090
Pt 2.017 0.000 7.700
```

Crystal system: orthorhombic
DOS(E_F) in states/eV per cell: 10.32

***

x) A plane-wave DFT calculation with PBE was carried out for a relaxed structure of Ho2ScPt3.

Cell and atoms, written as extended XYZ:
```
12
Lattice="4.838 0.000 0.000 0.000 14.816 0.000 0.000 0.000 3.352" Properties=species:S:1:pos:R:3 pbc="T T T"
Ho 1.210 1.238 0.051
Ho 1.210 6.170 0.051
Ho 3.629 8.647 3.301
Ho 3.629 13.578 3.301
Sc 1.210 11.112 3.304
Sc 3.629 3.704 0.048
Pt 1.210 3.704 1.711
Pt 1.210 8.873 1.613
Pt 1.210 13.351 1.613
Pt 3.629 1.465 1.739
Pt 3.629 5.943 1.739
Pt 3.629 11.112 1.641
```

Crystal system: orthorhombic
DOS(E_F) in states/eV per cell: 5.50

***

Stability ranking, top and bottom: x) is the most stable and w) is the least stable.

***

w) A plane-wave DFT calculation with PBE was carried out for a relaxed structure of HoScPt4.

Cell and atoms, written as extended XYZ:
```
6
Lattice="3.897 0.000 0.000 0.000 3.897 0.000 0.000 0.000 8.163" Properties=species:S:1:pos:R:3 pbc="T T T"
Ho 0.000 0.000 0.000
Sc 1.949 1.949 4.082
Pt 0.000 1.949 2.137
Pt 0.000 1.949 6.026
Pt 1.949 0.000 2.137
Pt 1.949 0.000 6.026
```

Crystal system: tetragonal
DOS(E_F) in states/eV per cell: 2.16

***

x) A plane-wave DFT calculation with PBE was carried out for a relaxed structure of HoScPt4.

Cell and atoms, written as extended XYZ:
```
6
Lattice="0.000 3.800 3.800 3.800 0.000 3.800 3.800 3.800 0.000" Properties=species:S:1:pos:R:3 pbc="T T T"
Ho 0.000 0.000 0.000
Sc 1.900 1.900 1.900
Pt 4.749 2.851 2.851
Pt 2.851 4.749 2.851
Pt 2.851 2.851 4.749
Pt 4.749 4.749 4.749
```

Crystal system: cubic
DOS(E_F) in states/eV per cell: 3.42

***

Stability ranking, top and bottom: x) is the most stable and w) is the least stable.

***

w) A plane-wave DFT calculation with PBE was carried out for a relaxed structure of Ho4PtSe3.

Cell and atoms, written as extended XYZ:
```
8
Lattice="5.764 0.000 0.000 0.000 5.764 0.000 0.000 0.000 5.764" Properties=species:S:1:pos:R:3 pbc="T T T"
Ho 0.000 0.000 0.000
Ho 0.000 2.882 2.882
Ho 2.882 0.000 2.882
Ho 2.882 2.882 0.000
Pt 2.882 2.882 2.882
Se 0.000 0.000 2.882
Se 0.000 2.882 0.000
Se 2.882 0.000 0.000
```

Crystal system: cubic
DOS(E_F) in states/eV per cell: 7.44

***

x) A plane-wave DFT calculation with PBE was carried out for a relaxed structure of Ho4PtSe3.

Cell and atoms, written as extended XYZ:
```
16
Lattice="8.331 0.000 0.000 0.000 11.646 0.000 0.000 0.000 3.997" Properties=species:S:1:pos:R:3 pbc="T T T"
Ho 0.000 2.843 0.000
Ho 0.000 8.803 0.000
Ho 1.929 0.000 1.998
Ho 2.237 5.823 1.998
Ho 4.166 2.980 0.000
Ho 4.166 8.665 0.000
Ho 6.094 5.823 1.998
Ho 6.403 0.000 1.998
Pt 0.000 0.000 0.000
Pt 4.166 5.823 0.000
Se 0.000 5.823 0.000
Se 2.083 2.911 1.998
Se 2.083 8.734 1.998
Se 4.166 0.000 0.000
Se 6.248 2.911 1.998
Se 6.248 8.734 1.998
```

Crystal system: orthorhombic
DOS(E_F) in states/eV per cell: 8.81

***

Stability ranking, top and bottom: x) is the most stable and w) is the least stable.

***

w) A plane-wave DFT calculation with PBE was carried out for a relaxed structure of Ho3PtSe2.

Cell and atoms, written as extended XYZ:
```
24
Lattice="0.000 5.798 12.075 4.190 0.000 12.075 4.190 5.798 0.000" Properties=species:S:1:pos:R:3 pbc="T T T"
Ho 3.082 1.342 6.957
Ho 5.360 4.349 9.056
Ho 3.203 1.342 11.154
Ho 5.298 4.241 12.995
Ho 7.455 7.248 15.093
Ho 5.177 4.241 17.192
Ho 3.203 7.355 6.957
Ho 0.924 4.349 9.056
Ho 3.082 7.355 11.154
Ho 5.177 10.254 12.995
Ho 3.019 7.248 15.093
Ho 5.298 10.254 17.192
Pt 1.047 1.450 1.004
Pt 1.047 1.450 5.034
Pt 7.332 10.147 19.116
Pt 7.332 10.147 23.145
Se 3.142 4.349 3.085
Se 3.142 4.349 7.119
Se 5.237 7.248 9.122
Se 3.142 4.349 10.993
Se 5.237 7.248 13.157
Se 3.142 4.349 15.027
Se 5.237 7.248 17.030
Se 5.237 7.248 21.064
```

Crystal system: orthorhombic
DOS(E_F) in states/eV per cell: 12.04

***

x) A plane-wave DFT calculation with PBE was carried out for a relaxed structure of Ho3PtSe2.

Cell and atoms, written as extended XYZ:
```
12
Lattice="3.947 0.000 0.000 0.000 5.842 0.000 0.000 0.000 12.676" Properties=species:S:1:pos:R:3 pbc="T T T"
Ho 0.000 0.000 0.000
Ho 0.000 0.000 4.386
Ho 0.000 0.000 8.289
Ho 1.974 2.921 1.951
Ho 1.974 2.921 6.338
Ho 1.974 2.921 10.724
Pt 0.000 2.921 0.000
Pt 1.974 0.000 6.338
Se 0.000 2.921 4.169
Se 0.000 2.921 8.507
Se 1.974 0.000 2.169
Se 1.974 0.000 10.506
```

Crystal system: orthorhombic
DOS(E_F) in states/eV per cell: 12.72

***

Stability ranking, top and bottom: w) is the most stable and x) is the least stable.

***

w) A plane-wave DFT calculation with PBE was carried out for a relaxed structure of Tb2HoPt3.

Cell and atoms, written as extended XYZ:
```
12
Lattice="4.976 0.000 0.000 0.000 14.932 0.000 0.000 0.000 3.457" Properties=species:S:1:pos:R:3 pbc="T T T"
Tb 1.244 1.246 0.003
Tb 1.244 6.220 0.003
Tb 3.732 8.712 3.454
Tb 3.732 13.686 3.454
Ho 1.244 11.199 3.453
Ho 3.732 3.733 0.004
Pt 1.244 3.733 1.730
Pt 1.244 8.750 1.723
Pt 1.244 13.648 1.723
Pt 3.732 1.284 1.735
Pt 3.732 6.182 1.735
Pt 3.732 11.199 1.728
```

Crystal system: orthorhombic
DOS(E_F) in states/eV per cell: 6.90

***

x) A plane-wave DFT calculation with PBE was carried out for a relaxed structure of Tb2HoPt3.

Cell and atoms, written as extended XYZ:
```
12
Lattice="6.401 -2.889 0.000 6.401 2.889 0.000 -2.554 0.000 7.725" Properties=species:S:1:pos:R:3 pbc="T T T"
Tb 1.927 0.142 0.645
Tb 0.650 -0.142 4.507
Tb 9.599 0.142 3.218
Tb 8.322 -0.142 7.081
Ho 4.486 0.169 5.794
Ho 5.763 -0.169 1.931
Pt 5.763 2.725 1.931
Pt 3.227 0.138 3.223
Pt 1.950 -0.138 7.086
Pt 8.299 0.138 0.639
Pt 7.022 -0.138 4.502
Pt 4.486 -2.725 5.794
```

Crystal system: monoclinic
DOS(E_F) in states/eV per cell: 8.05

***

Stability ranking, top and bottom: w) is the most stable and x) is the least stable.